(1)
A plane-wave DFT calculation with PBE was carried out for a geometry-optimized Li2Mg3ZnGa3 structure.

CIF file:
```
data_Li2Mg3ZnGa3
_symmetry_space_group_name_H-M 'P -6 2 m'
_symmetry_Int_Tables_number 189
_symmetry_space_group_name_Hall 'P -6 -2'
_cell_length_a 7.8907
_cell_length_b 7.8907
_cell_length_c 2.9674
_cell_angle_alpha 90.00
_cell_angle_beta 90.00
_cell_angle_gamma 120.00
loop_
_atom_site_label
_atom_site_fract_x
_atom_site_fract_y
_atom_site_fract_z
_atom_site_occupancy
Li1 0.3333 0.6667 0.0000 1
Mg1 0.0000 0.7010 0.0000 1
Zn1 0.0000 0.0000 0.5000 1
Ga1 0.0000 0.3604 0.5000 1
```

Properties
energy of formation	-170	meV/atom
VASP energy	-0.167	Ry per atom
size of the total moment	0.000	μB/f.u.

(2)
A plane-wave DFT calculation with PBE was carried out for a geometry-optimized YCrAs2 structure.

CIF file:
```
data_YCrAs2
_symmetry_space_group_name_H-M 'R 3 m'
_symmetry_Int_Tables_number 160
_symmetry_space_group_name_Hall 'R 3 -2"'
_cell_length_a 3.3430
_cell_length_b 3.3430
_cell_length_c 25.4800
_cell_angle_alpha 90.00
_cell_angle_beta 90.00
_cell_angle_gamma 120.00
loop_
_atom_site_label
_atom_site_fract_x
_atom_site_fract_y
_atom_site_fract_z
_atom_site_occupancy
Y1 0.0000 0.0000 0.0000 1
Cr1 0.0000 0.0000 0.2443 1
As1 0.0000 0.0000 0.5222 1
As2 0.0000 0.0000 0.7579 1
```

Properties
energy of formation	175	meV/atom
VASP energy	-0.454	Ry per atom
size of the total moment	0.851	μB/f.u.
polymorph energy (0 for the lowest one)	957	meV/atom

(3)
A plane-wave DFT calculation with PBE was carried out for a geometry-optimized Ca8SiHg2 structure.

CIF file:
```
data_Ca8SiHg2
_symmetry_space_group_name_H-M 'I m m m'
_symmetry_Int_Tables_number 71
_symmetry_space_group_name_Hall '-I 2 2'
_cell_length_a 5.071
_cell_length_b 8.620
_cell_length_c 15.679
_cell_angle_alpha 90.00
_cell_angle_beta 90.00
_cell_angle_gamma 90.00
loop_
_atom_site_label
_atom_site_fract_x
_atom_site_fract_y
_atom_site_fract_z
_atom_site_occupancy
Ca1 0.000 0.000 0.134 1
Ca2 0.000 0.223 0.336 1
Ca3 0.000 0.310 0.000 1
Si1 0.000 0.500 0.500 1
Hg1 0.000 0.500 0.186 1
```

Properties
VASP energy	-0.164	Ry per atom
size of the total moment	0.000	μB/f.u.
formation energy (no corrections)	-0.230	eV per atom

(4)
A plane-wave DFT calculation with PBE was carried out for a geometry-optimized Mg2FeSe structure.

CIF file:
```
data_Mg2FeSe
_symmetry_space_group_name_H-M 'I 4/m m m'
_symmetry_Int_Tables_number 139
_symmetry_space_group_name_Hall '-I 4 2'
_cell_length_a 3.980
_cell_length_b 3.980
_cell_length_c 8.810
_cell_angle_alpha 90.00
_cell_angle_beta 90.00
_cell_angle_gamma 90.00
loop_
_atom_site_label
_atom_site_fract_x
_atom_site_fract_y
_atom_site_fract_z
_atom_site_occupancy
Mg1 0.000 0.500 0.250 1
Fe1 0.000 0.000 0.000 1
Se1 0.000 0.000 0.500 1
```

Properties
VASP energy	-0.273	Ry per atom
size of the total moment	2.433	μB/f.u.
formation energy (no corrections)	0.068	eV per atom

(5)
A plane-wave DFT calculation with PBE was carried out for a geometry-optimized ZrCr4Pt structure.

CIF file:
```
data_ZrCr4Pt
_symmetry_space_group_name_H-M 'F -4 3 m'
_symmetry_Int_Tables_number 216
_symmetry_space_group_name_Hall 'F -4 2 3'
_cell_length_a 6.941
_cell_length_b 6.941
_cell_length_c 6.941
_cell_angle_alpha 90.00
_cell_angle_beta 90.00
_cell_angle_gamma 90.00
loop_
_atom_site_label
_atom_site_fract_x
_atom_site_fract_y
_atom_site_fract_z
_atom_site_occupancy
Zr1 0.000 0.000 0.000 1
Cr1 0.127 0.127 0.627 1
Pt1 0.250 0.250 0.250 1
```

Properties
energy of formation	-71	meV/atom
VASP energy	-0.655	Ry per atom
size of the total moment	0.000	μB/f.u.

(6)
A plane-wave DFT calculation with PBE was carried out for a geometry-optimized ZrUMnOs structure.

CIF file:
```
data_ZrUMnOs
_symmetry_space_group_name_H-M 'F -4 3 m'
_symmetry_Int_Tables_number 216
_symmetry_space_group_name_Hall 'F -4 2 3'
_cell_length_a 6.636
_cell_length_b 6.636
_cell_length_c 6.636
_cell_angle_alpha 90.00
_cell_angle_beta 90.00
_cell_angle_gamma 90.00
loop_
_atom_site_label
_atom_site_fract_x
_atom_site_fract_y
_atom_site_fract_z
_atom_site_occupancy
Zr1 0.000 0.000 0.000 1
U1 0.000 0.000 0.500 1
Mn1 0.250 0.250 0.250 1
Os1 0.250 0.250 0.750 1
```

Properties
energy of formation	-5	meV/atom
VASP energy	-0.740	Ry per atom
size of the total moment	0.513	μB/f.u.

(7)
A plane-wave DFT calculation with PBE was carried out for a geometry-optimized SnGe2S4 structure.

CIF file:
```
data_SnGe2S4
_symmetry_space_group_name_H-M 'I 4/m'
_symmetry_Int_Tables_number 87
_symmetry_space_group_name_Hall '-I 4'
_cell_length_a 7.638
_cell_length_b 7.638
_cell_length_c 6.168
_cell_angle_alpha 90.00
_cell_angle_beta 90.00
_cell_angle_gamma 90.00
loop_
_atom_site_label
_atom_site_fract_x
_atom_site_fract_y
_atom_site_fract_z
_atom_site_occupancy
Sn1 0.000 0.000 0.000 1
Ge1 0.000 0.500 0.250 1
S1 0.162 0.672 0.500 1
```

Properties
VASP energy	-0.320	Ry per atom
size of the total moment	0.001	μB/f.u.
formation energy (no corrections)	-0.109	eV per atom

(8)
A plane-wave DFT calculation with PBE was carried out for a geometry-optimized Ac2ScAl3Pt4 structure.

CIF file:
```
data_Ac2ScAl3Pt4
_symmetry_space_group_name_H-M 'P -4 m 2'
_symmetry_Int_Tables_number 115
_symmetry_space_group_name_Hall 'P -4 -2'
_cell_length_a 4.434
_cell_length_b 4.434
_cell_length_c 10.834
_cell_angle_alpha 90.00
_cell_angle_beta 90.00
_cell_angle_gamma 90.00
loop_
_atom_site_label
_atom_site_fract_x
_atom_site_fract_y
_atom_site_fract_z
_atom_site_occupancy
Ac1 0.000 0.500 0.240 1
Sc1 0.000 0.000 0.500 1
Al1 0.000 0.500 0.883 1
Al2 0.500 0.500 0.500 1
Pt1 0.000 0.000 0.000 1
Pt2 0.000 0.500 0.644 1
Pt3 0.500 0.500 0.000 1
```

Properties
energy of formation	-1090	meV/atom
VASP energy	-0.447	Ry per atom
size of the total moment	0.000	μB/f.u.

> The highest VASP energy belongs to which entry?

Ca8SiHg2

> Which formula does entry 5 have?

ZrCr4Pt